[1]
The following is a DFT calculation (GGA-PBE) of an optimized crystal structure of Th2Br2N.

Cell: 4.046 4.046 13.850 Å, 90.00 90.00 90.00°
Space group P4/mmm (No. 123)
Unique sites:
Th 0.000 0.000 0.150 (multiplicity 2)
Br 0.000 0.000 0.347 (multiplicity 2)
N 0.000 0.000 0.000 (multiplicity 1)

Computed properties:
total moment = 0.000 μB per cell
energy relative to the elements, uncorrected = -0.51 eV/atom
crystal system = tetragonal

---

[2]
The following is a DFT calculation (GGA-PBE) of an optimized crystal structure of ThBrN.

Cell: 4.052 4.052 11.248 Å, 84.40 82.46 60.00°
Space group P-1 (No. 2)
Unique sites:
Th 0.127 0.151 0.131 (multiplicity 2)
Br 0.404 0.462 0.316 (multiplicity 2)
N 0.191 0.176 0.919 (multiplicity 2)

Computed properties:
total moment = 0.000 μB per cell
energy relative to the elements, uncorrected = -1.93 eV/atom
crystal system = triclinic

---

[3]
The following is a DFT calculation (GGA-PBE) of an optimized crystal structure of ThBrN.

Cell: 3.9041 3.9041 5.9430 Å, 90.00 90.00 120.00°
Space group P3m1 (No. 156)
Unique sites:
Th 0.0000 0.0000 0.0000 (multiplicity 1)
Br 0.6667 0.3333 0.3632 (multiplicity 1)
N 0.3333 0.6667 0.9181 (multiplicity 1)

Computed properties:
total moment = 0.000 μB per cell
energy relative to the elements, uncorrected = -1.62 eV/atom
crystal system = trigonal

---

[4]
The following is a DFT calculation (GGA-PBE) of an optimized crystal structure of TiBrN2.

Cell: 5.668 5.668 5.668 Å, 90.00 90.00 90.00°
Space group Fm-3m (No. 225)
Unique sites:
Ti 0.000 0.000 0.000 (multiplicity 4)
Br 0.000 0.000 0.500 (multiplicity 4)
N 0.250 0.250 0.250 (multiplicity 8)

Computed properties:
relative energy among the computed polymorphs = 5.90 eV/f.u.
total moment = 0.003 μB per cell
energy relative to the elements, uncorrected = 1.38 eV/atom
crystal system = cubic

---

DFT total energy for the records above, in order: -5.812 -7.735 -7.421 -5.175 eV per atom